Entry from Alexandria: crystalline SbPOs3 at its relaxed geometry (PBE).

a b c (Å): 4.8147 4.8147 4.8147
angles (deg): 90.00 90.00 90.00
Each line ends with the local moment (μB).
Fractional coordinates of all 5 atoms:
Sb 0.0000 0.0000 0.0000  -0.01
Os 0.0000 0.5000 0.0000  0.19
Os 0.0000 0.0000 0.5000  0.15
Os 0.5000 0.0000 0.0000  0.17
P 0.5000 0.5000 0.5000  -0.03

Summary:
E   -5.870 eV per atom
D(E_F)   8.5 states/eV/cell
Magnetization   0.48 μB per cell
Crystal system   cubic
Symmetry   Pm-3m
Raw formation energy   1339 kJ/mol of formula units

Entry from Alexandria: crystalline SbP4Os at its relaxed geometry (PBE).

a b c (Å): 5.1449 5.1449 5.1449
angles (deg): 60.00 60.00 60.00
Fractional coordinates of all 6 atoms:
Sb 0.2500 0.2500 0.2500
P 0.6211 0.6211 0.1368
P 0.6211 0.1368 0.6211
P 0.6211 0.6211 0.6211
P 0.1368 0.6211 0.6211
Os 0.0000 0.0000 0.0000

Summary:
E   -5.078 eV per atom
D(E_F)   4.7 states/eV/cell
Magnetization   0.00 μB per cell
Crystal system   cubic
Symmetry   F-43m
Raw formation energy   629 kJ/mol of formula units

Entry from Alexandria: crystalline Sb3POs at its relaxed geometry (PBE).

a b c (Å): 5.1139 5.1139 5.1139
angles (deg): 90.00 90.00 90.00
Fractional coordinates of all 5 atoms:
Sb 0.0000 0.5000 0.0000
Sb 0.0000 0.0000 0.5000
Sb 0.5000 0.0000 0.0000
Os 0.0000 0.0000 0.0000
P 0.5000 0.5000 0.5000

Summary:
E   -4.939 eV per atom
D(E_F)   5.1 states/eV/cell
Magnetization   0.00 μB per cell
Crystal system   cubic
Symmetry   Pm-3m
Raw formation energy   416 kJ/mol of formula units

Entry from Alexandria: crystalline SbPOs2Se at its relaxed geometry (PBE).

a b c (Å): 4.9250 4.9250 4.9597
angles (deg): 90.00 90.00 90.00
Each line ends with the local moment (μB).
Fractional coordinates of all 5 atoms:
Sb 0.0000 0.0000 0.0000  -0.02
Os 0.0000 0.5000 0.0000  0.96
Os 0.5000 0.0000 0.0000  0.96
Se 0.5000 0.5000 0.5000  0.01
P 0.0000 0.0000 0.5000  -0.01

Summary:
E   -4.794 eV per atom
D(E_F)   6.5 states/eV/cell
Magnetization   2.09 μB per cell
Crystal system   tetragonal
Symmetry   P4/mmm
Raw formation energy   1110 kJ/mol of formula units

Entry from Alexandria: crystalline SbTeP2Os at its relaxed geometry (PBE).

a b c (Å): 4.9857 5.0116 4.9857
angles (deg): 90.00 90.00 90.00
Each line ends with the local moment (μB).
Fractional coordinates of all 5 atoms:
Sb 0.0000 0.0000 0.0000  -0.01
Te 0.5000 0.5000 0.5000  -0.02
Os 0.0000 0.5000 0.0000  0.56
P 0.0000 0.0000 0.5000  -0.02
P 0.5000 0.0000 0.0000  -0.02

Summary:
E   -4.218 eV per atom
D(E_F)   4.6 states/eV/cell
Magnetization   0.50 μB per cell
Crystal system   tetragonal
Symmetry   P4/mmm
Raw formation energy   793 kJ/mol of formula units

Entry from Alexandria: crystalline SbTe2POs at its relaxed geometry (PBE).

a b c (Å): 5.2007 5.2007 5.1021
angles (deg): 90.00 90.00 90.00
Fractional coordinates of all 5 atoms:
Sb 0.0000 0.0000 0.5000
Te 0.0000 0.5000 0.0000
Te 0.5000 0.0000 0.0000
Os 0.0000 0.0000 0.0000
P 0.5000 0.5000 0.5000

Summary:
E   -4.408 eV per atom
D(E_F)   6.6 states/eV/cell
Magnetization   0.00 μB per cell
Crystal system   tetragonal
Symmetry   P4/mmm
Raw formation energy   483 kJ/mol of formula units